## Tb12CdRu6 (PBE)

Data for a relaxed Tb12CdRu6 crystal.

Output
- total magnetization (μB per formula unit) = 0.000
- N(E_F) (states/eV/atom) = 0.4746
- volume (Å³ per atom) = 26.16
- energy relative to the lowest polymorph listed for this composition (meV per atom) = 75

Lattice parameters (Å, degrees): 8.544 8.544 8.544 108.47 108.47 108.47
Atoms (fractional coordinates):
Tb: 0.046 0.111 0.353
Tb: 0.111 0.353 0.046
Tb: 0.166 0.643 0.465
Tb: 0.353 0.046 0.111
Tb: 0.357 0.535 0.834
Tb: 0.465 0.166 0.643
Tb: 0.535 0.834 0.357
Tb: 0.643 0.465 0.166
Tb: 0.647 0.954 0.889
Tb: 0.834 0.357 0.535
Tb: 0.889 0.647 0.954
Tb: 0.954 0.889 0.647
Cd: 0.500 0.500 0.500
Ru: 0.130 0.709 0.793
Ru: 0.207 0.870 0.291
Ru: 0.291 0.207 0.870
Ru: 0.709 0.793 0.130
Ru: 0.793 0.130 0.709
Ru: 0.870 0.291 0.207